CsTa3Zn GGA-PBE optimized geometry; ΔE_f = 2.04 eV/atom; ρ = 10.19 g cm⁻³; crystal system = cubic; distance to the lowest polymorph of the same formula = 0.0 meV/atom
1.0
4.942 0.000 0.000
0.000 4.942 0.000
0.000 0.000 4.942
Cs Ta Zn
1 3 1
Direct
0.000 0.000 0.000
0.000 0.500 0.500
0.500 0.000 0.500
0.500 0.500 0.000
0.500 0.500 0.500

K2ZrW GGA-PBE optimized geometry; ΔE_f = 0.88 eV/atom; ρ = 4.81 g cm⁻³; crystal system = orthorhombic; distance to the lowest polymorph of the same formula = 42.8 meV/atom
1.0
3.750 0.000 0.000
0.000 5.237 0.000
0.000 0.000 12.414
K Zr W
4 2 2
Direct
0.000 0.000 0.000
0.000 0.500 0.336
0.500 0.000 0.336
0.500 0.500 0.000
0.000 0.500 0.722
0.500 0.000 0.722
0.000 0.000 0.571
0.500 0.500 0.571

KRbBa2Ag GGA-PBE optimized geometry; ΔE_f = 0.02 eV/atom; ρ = 2.68 g cm⁻³; crystal system = tetragonal; distance to the lowest polymorph of the same formula = 4.6 meV/atom
1.0
6.624 0.000 0.000
0.000 6.624 0.000
0.000 0.000 7.162
K Rb Ba Ag
1 1 2 1
Direct
0.000 0.000 0.000
0.500 0.500 0.000
0.000 0.500 0.500
0.500 0.000 0.500
0.500 0.500 0.500

HgPdI2 GGA-PBE optimized geometry; ρ = 6.81 g cm⁻³; crystal system = orthorhombic; distance to the lowest polymorph of the same formula = 0.0 meV/atom; E_form (uncorrected) = -150 meV per atom
1.0
3.949 0.000 0.000
0.000 5.901 0.000
0.000 0.000 11.738
Hg Pd I
2 2 4
Direct
0.000 0.000 0.000
0.500 0.500 0.500
0.000 0.500 0.000
0.500 0.000 0.500
0.000 0.000 0.345
0.000 0.000 0.655
0.500 0.500 0.155
0.500 0.500 0.845

Hg2Bi3Pd8 GGA-PBE optimized geometry; ΔE_f = -0.04 eV/atom; ρ = 11.91 g cm⁻³; crystal system = trigonal
1.0
2.712 1.566 10.290
-2.712 1.566 10.290
0.000 -3.131 10.290
Hg Bi Pd
2 3 8
Direct
0.134 0.134 0.134
0.866 0.866 0.866
0.309 0.309 0.309
0.500 0.500 0.500
0.691 0.691 0.691
0.221 0.221 0.221
0.227 0.227 0.723
0.227 0.723 0.227
0.277 0.773 0.773
0.723 0.227 0.227
0.773 0.277 0.773
0.773 0.773 0.277
0.779 0.779 0.779

Li2UPbS4 GGA-PBE optimized geometry; ρ = 5.57 g cm⁻³; crystal system = monoclinic; E_form (uncorrected) = -1127 meV per atom
1.0
6.637 0.000 0.000
0.000 3.961 0.000
-2.638 0.000 6.666
Li U Pb S
2 1 1 4
Direct
0.000 0.000 0.000
0.000 0.500 0.500
0.500 0.000 0.500
0.500 0.500 0.000
0.245 0.000 0.711
0.245 0.500 0.260
0.755 0.000 0.289
0.755 0.500 0.740

YTaPd2Rh GGA-PBE optimized geometry; ΔE_f = 0.97 eV/atom; ρ = 8.40 g cm⁻³; crystal system = tetragonal
1.0
4.912 0.000 0.000
0.000 4.912 0.000
0.000 0.000 4.796
Y Ta Pd Rh
1 1 2 1
Direct
0.000 0.000 0.000
0.500 0.500 0.000
0.000 0.500 0.500
0.500 0.000 0.500
0.000 0.000 0.500

CeZrAg2 GGA-PBE optimized geometry; ΔE_f = 0.02 eV/atom; ρ = 8.44 g cm⁻³; crystal system = tetragonal; distance to the lowest polymorph of the same formula = 49.8 meV/atom
1.0
4.458 0.000 0.000
0.000 4.458 0.000
0.000 0.000 4.425
Ce Zr Ag
1 1 2
Direct
0.000 0.000 0.000
0.500 0.500 0.000
0.000 0.500 0.500
0.500 0.000 0.500

BaLa2Tl GGA-PBE optimized geometry; ΔE_f = 0.01 eV/atom; ρ = 7.34 g cm⁻³; crystal system = cubic; distance to the lowest polymorph of the same formula = 153.4 meV/atom
1.0
8.245 0.000 0.000
0.000 8.245 0.000
0.000 0.000 8.245
Ba La Tl
4 8 4
Direct
0.000 0.000 0.000
0.000 0.500 0.500
0.500 0.000 0.500
0.500 0.500 0.000
0.250 0.250 0.250
0.250 0.250 0.750
0.250 0.750 0.250
0.250 0.750 0.750
0.750 0.250 0.250
0.750 0.250 0.750
0.750 0.750 0.250
0.750 0.750 0.750
0.000 0.000 0.500
0.000 0.500 0.000
0.500 0.000 0.000
0.500 0.500 0.500

TlP2F GGA-PBE optimized geometry; ρ = 5.40 g cm⁻³; crystal system = tetragonal; distance to the lowest polymorph of the same formula = 0.0 meV/atom; E_form (uncorrected) = -474 meV per atom
1.0
3.605 0.000 0.000
0.000 3.605 0.000
0.000 0.000 26.998
Tl P F
4 8 4
Direct
0.000 0.000 0.000
0.000 0.500 0.250
0.500 0.000 0.750
0.500 0.500 0.500
0.179 0.250 0.625
0.250 0.679 0.875
0.250 0.821 0.375
0.321 0.250 0.125
0.679 0.750 0.125
0.750 0.179 0.375
0.750 0.321 0.875
0.821 0.750 0.625
0.000 0.000 0.500
0.000 0.500 0.750
0.500 0.000 0.250
0.500 0.500 0.000

V2TcIr3 GGA-PBE optimized geometry; ΔE_f = 0.11 eV/atom; ρ = 12.93 g cm⁻³; crystal system = orthorhombic
1.0
-3.607 5.112 2.705
3.607 -5.112 2.705
3.607 5.112 -2.705
V Tc Ir
4 2 6
Direct
0.135 0.216 0.351
0.365 0.716 0.080
0.635 0.284 0.920
0.865 0.784 0.649
0.000 0.500 0.500
0.500 0.000 0.500
0.022 0.750 0.272
0.250 0.250 0.000
0.478 0.750 0.728
0.522 0.250 0.272
0.750 0.750 0.000
0.978 0.250 0.728

La2Cu3PdAu12 GGA-PBE optimized geometry; ΔE_f = -0.03 eV/atom; ρ = 11.74 g cm⁻³; crystal system = trigonal
1.0
4.249 2.453 6.649
-4.249 2.453 6.649
0.000 -4.906 6.649
La Cu Pd Au
2 3 1 12
Direct
0.116 0.116 0.116
0.884 0.884 0.884
0.000 0.500 0.500
0.500 0.000 0.500
0.500 0.500 0.000
0.500 0.500 0.500
0.115 0.632 0.632
0.134 0.134 0.619
0.134 0.619 0.134
0.368 0.368 0.885
0.368 0.885 0.368
0.381 0.866 0.866
0.619 0.134 0.134
0.632 0.115 0.632
0.632 0.632 0.115
0.866 0.381 0.866
0.866 0.866 0.381
0.885 0.368 0.368

YTa2Ir GGA-PBE optimized geometry; ΔE_f = 0.05 eV/atom; ρ = 14.23 g cm⁻³; crystal system = monoclinic; distance to the lowest polymorph of the same formula = 235.5 meV/atom
1.0
5.582 0.000 0.000
0.000 9.637 0.000
-0.960 0.000 2.790
Y Ta Ir
2 4 2
Direct
0.000 0.000 0.000
0.500 0.500 0.000
0.250 0.250 0.500
0.250 0.750 0.500
0.750 0.250 0.500
0.750 0.750 0.500
0.000 0.500 0.000
0.500 0.000 0.000

ThTlPd GGA-PBE optimized geometry; ΔE_f = -0.39 eV/atom; ρ = 12.45 g cm⁻³; crystal system = tetragonal
1.0
3.494 0.000 0.000
0.000 3.494 0.000
0.000 0.000 11.857
Th Tl Pd
2 2 2
Direct
0.000 0.000 0.000
0.500 0.500 0.500
0.000 0.000 0.296
0.500 0.500 0.796
0.000 0.000 0.650
0.500 0.500 0.150

CrRu2 GGA-PBE optimized geometry; ΔE_f = 0.82 eV/atom; ρ = 9.26 g cm⁻³; crystal system = cubic
1.0
5.671 0.000 0.000
0.000 5.671 0.000
0.000 0.000 5.671
Cr Ru
4 8
Direct
0.000 0.000 0.000
0.000 0.500 0.500
0.500 0.000 0.500
0.500 0.500 0.000
0.128 0.628 0.872
0.128 0.872 0.372
0.372 0.128 0.872
0.372 0.372 0.372
0.628 0.628 0.628
0.628 0.872 0.128
0.872 0.128 0.628
0.872 0.372 0.128

YSbSe2 GGA-PBE optimized geometry; ρ = 6.08 g cm⁻³; crystal system = orthorhombic; E_form (uncorrected) = -840 meV per atom
1.0
4.036 0.000 0.000
0.000 4.116 0.000
0.000 0.000 6.063
Y Sb Se
1 1 2
Direct
0.000 0.000 0.000
0.000 0.500 0.500
0.500 0.000 0.500
0.500 0.500 0.000

GdAs2Ir GGA-PBE optimized geometry; ΔE_f = -0.84 eV/atom; ρ = 10.56 g cm⁻³; crystal system = trigonal
1.0
4.038 0.000 0.000
-2.019 3.497 0.000
0.000 0.000 16.682
Gd As Ir
3 6 3
Direct
0.000 0.000 0.000
0.333 0.667 0.667
0.667 0.333 0.333
0.000 0.000 0.231
0.000 0.000 0.769
0.333 0.667 0.436
0.333 0.667 0.898
0.667 0.333 0.102
0.667 0.333 0.564
0.000 0.000 0.500
0.333 0.667 0.167
0.667 0.333 0.833

PPtPb GGA-PBE optimized geometry; ΔE_f = 0.05 eV/atom; ρ = 11.03 g cm⁻³; crystal system = cubic; distance to the lowest polymorph of the same formula = 339.9 meV/atom
1.0
6.389 0.000 0.000
0.000 6.389 0.000
0.000 0.000 6.389
P Pt Pb
4 4 4
Direct
0.000 0.000 0.000
0.000 0.500 0.500
0.500 0.000 0.500
0.500 0.500 0.000
0.250 0.250 0.750
0.250 0.750 0.250
0.750 0.250 0.250
0.750 0.750 0.750
0.000 0.000 0.500
0.000 0.500 0.000
0.500 0.000 0.000
0.500 0.500 0.500

OsClO2 GGA-PBE optimized geometry; ρ = 10.04 g cm⁻³; crystal system = cubic; distance to the lowest polymorph of the same formula = 1313.1 meV/atom; E_form (uncorrected) = 1069 meV per atom
1.0
5.546 0.000 0.000
0.000 5.546 0.000
0.000 0.000 5.546
Os Cl O
4 4 8
Direct
0.000 0.000 0.000
0.000 0.500 0.500
0.500 0.000 0.500
0.500 0.500 0.000
0.000 0.000 0.500
0.000 0.500 0.000
0.500 0.000 0.000
0.500 0.500 0.500
0.250 0.250 0.250
0.250 0.250 0.750
0.250 0.750 0.250
0.250 0.750 0.750
0.750 0.250 0.250
0.750 0.250 0.750
0.750 0.750 0.250
0.750 0.750 0.750

Er5TlPb4 GGA-PBE optimized geometry; ΔE_f = -0.26 eV/atom; ρ = 10.27 g cm⁻³; crystal system = tetragonal
1.0
-4.897 4.897 3.151
4.897 -4.897 3.151
4.897 4.897 -3.151
Er Tl Pb
5 1 4
Direct
0.000 0.000 0.000
0.011 0.424 0.778
0.233 0.011 0.587
0.424 0.646 0.413
0.646 0.233 0.222
0.508 0.508 0.000
0.113 0.720 0.177
0.543 0.936 0.823
0.720 0.543 0.607
0.936 0.113 0.393